# 1
# Li2MnFe | Alexandria | PBE | optimized geometry
data_Li2MnFe
_chemical_formula_sum 'Li4 Mn2 Fe2'
_cell_length_a 2.8556
_cell_length_b 3.9796
_cell_length_c 8.9434
_cell_angle_alpha 90.00
_cell_angle_beta 90.00
_cell_angle_gamma 90.00
_symmetry_space_group_name_H-M 'C m m 2'
_symmetry_Int_Tables_number 35
loop_
_symmetry_equiv_pos_as_xyz
'x,y,z'
'-x,-y,z'
'-x,y,z'
'x,-y,z'
'x+1/2,y+1/2,z'
'-x+1/2,-y+1/2,z'
'-x+1/2,y+1/2,z'
'x+1/2,-y+1/2,z'
loop_
_atom_site_label
_atom_site_fract_x
_atom_site_fract_y
_atom_site_fract_z
_atom_site_occupancy
Li1 0.0000 0.0000 0.0000 1
Li2 0.0000 0.5000 0.2890 1
Mn1 0.0000 0.0000 0.5347 1
Fe1 0.0000 0.5000 0.7545 1
# Final energy in eV per cell: -40.860
# Density in g/cm³: 4.07
# Total magnetic moment in μB per formula unit: 3.1
# Fermi-level density of states in states/eV/f.u.: 3.6

# 2
# Li2MnFe | Alexandria | PBE | optimized geometry
data_Li2MnFe
_chemical_formula_sum 'Li8 Mn4 Fe4'
_cell_length_a 5.9229
_cell_length_b 5.9229
_cell_length_c 5.9229
_cell_angle_alpha 90.00
_cell_angle_beta 90.00
_cell_angle_gamma 90.00
_symmetry_space_group_name_H-M 'F m -3 m'
_symmetry_Int_Tables_number 225
_symmetry_space_group_name_Hall '-F 4 2 3'
loop_
_atom_site_label
_atom_site_fract_x
_atom_site_fract_y
_atom_site_fract_z
_atom_site_occupancy
Li1 0.2500 0.2500 0.2500 1
Mn1 0.0000 0.0000 0.0000 1
Fe1 0.0000 0.0000 0.5000 1
# Final energy in eV per cell: -77.813
# Density in g/cm³: 3.99
# Total magnetic moment in μB per formula unit: 6.0
# Fermi-level density of states in states/eV/f.u.: 1.9

# 3
# LiMn2Fe2 | Alexandria | PBE | optimized geometry
data_LiMn2Fe2
_chemical_formula_sum 'Li2 Mn4 Fe4'
_cell_length_a 6.8476
_cell_length_b 6.8476
_cell_length_c 2.4535
_cell_angle_alpha 90.00
_cell_angle_beta 90.00
_cell_angle_gamma 90.00
_symmetry_space_group_name_H-M 'P 4/m b m'
_symmetry_Int_Tables_number 127
_symmetry_space_group_name_Hall '-P 4 2ab'
loop_
_atom_site_label
_atom_site_fract_x
_atom_site_fract_y
_atom_site_fract_z
_atom_site_occupancy
Li1 0.0000 0.0000 0.0000 1
Mn1 0.1640 0.3360 0.5000 1
Fe1 0.1268 0.6268 0.0000 1
# Final energy in eV per cell: -71.975
# Density in g/cm³: 6.60
# Total magnetic moment in μB per formula unit: 0.0
# Fermi-level density of states in states/eV/f.u.: 7.0

# 4
# Li2MnFe | Alexandria | PBE | optimized geometry
data_Li2MnFe
_chemical_formula_sum 'Li2 Mn1 Fe1'
_cell_length_a 2.3220
_cell_length_b 2.3220
_cell_length_c 8.7897
_cell_angle_alpha 90.00
_cell_angle_beta 90.00
_cell_angle_gamma 90.00
_symmetry_space_group_name_H-M 'P 4/m m m'
_symmetry_Int_Tables_number 123
_symmetry_space_group_name_Hall '-P 4 2'
loop_
_atom_site_label
_atom_site_fract_x
_atom_site_fract_y
_atom_site_fract_z
_atom_site_occupancy
Li1 0.0000 0.0000 0.2502 1
Mn1 0.5000 0.5000 0.0000 1
Fe1 0.5000 0.5000 0.5000 1
# Final energy in eV per cell: -19.928
# Density in g/cm³: 4.37
# Total magnetic moment in μB per formula unit: 2.3
# Fermi-level density of states in states/eV/f.u.: 2.5

# 5
# LiMnFe2N | Alexandria | PBE | optimized geometry
data_LiMnFe2N
_chemical_formula_sum 'Li1 Mn1 Fe2 N1'
_cell_length_a 3.7623
_cell_length_b 3.7623
_cell_length_c 3.7804
_cell_angle_alpha 90.00
_cell_angle_beta 90.00
_cell_angle_gamma 90.00
_symmetry_space_group_name_H-M 'P 4/m m m'
_symmetry_Int_Tables_number 123
_symmetry_space_group_name_Hall '-P 4 2'
loop_
_atom_site_label
_atom_site_fract_x
_atom_site_fract_y
_atom_site_fract_z
_atom_site_occupancy
Li1 0.0000 0.0000 0.0000 1
Mn1 0.5000 0.5000 0.0000 1
Fe1 0.0000 0.5000 0.5000 1
N1 0.5000 0.5000 0.5000 1
# Final energy in eV per cell: -36.606
# Formation energy from raw total energies in meV/atom: -54
# Density in g/cm³: 5.82
# Total magnetic moment in μB per formula unit: 5.2
# Fermi-level density of states in states/eV/f.u.: 4.5

# 6
# LiMn2FeN | Alexandria | PBE | optimized geometry
data_LiMn2FeN
_chemical_formula_sum 'Li1 Mn2 Fe1 N1'
_cell_length_a 3.9042
_cell_length_b 3.9042
_cell_length_c 3.6654
_cell_angle_alpha 90.00
_cell_angle_beta 90.00
_cell_angle_gamma 90.00
_symmetry_space_group_name_H-M 'P 4/m m m'
_symmetry_Int_Tables_number 123
_symmetry_space_group_name_Hall '-P 4 2'
loop_
_atom_site_label
_atom_site_fract_x
_atom_site_fract_y
_atom_site_fract_z
_atom_site_occupancy
Li1 0.0000 0.0000 0.0000 1
Mn1 0.0000 0.5000 0.5000 1
Fe1 0.5000 0.5000 0.0000 1
N1 0.5000 0.5000 0.5000 1
# Final energy in eV per cell: -37.360
# Formation energy from raw total energies in meV/atom: -64
# Density in g/cm³: 5.55
# Total magnetic moment in μB per formula unit: 6.1
# Fermi-level density of states in states/eV/f.u.: 4.2

# 7
# LiMnFeNi | Alexandria | PBE | optimized geometry
data_LiMnFeNi
_chemical_formula_sum 'Li4 Mn4 Fe4 Ni4'
_cell_length_a 5.6050
_cell_length_b 5.6050
_cell_length_c 5.6050
_cell_angle_alpha 90.00
_cell_angle_beta 90.00
_cell_angle_gamma 90.00
_symmetry_space_group_name_H-M 'F -4 3 m'
_symmetry_Int_Tables_number 216
_symmetry_space_group_name_Hall 'F -4 2 3'
loop_
_atom_site_label
_atom_site_fract_x
_atom_site_fract_y
_atom_site_fract_z
_atom_site_occupancy
Li1 0.0000 0.0000 0.0000 1
Mn1 0.2500 0.2500 0.7500 1
Fe1 0.0000 0.0000 0.5000 1
Ni1 0.2500 0.2500 0.2500 1
# Final energy in eV per cell: -97.991
# Density in g/cm³: 6.65
# Total magnetic moment in μB per formula unit: 1.8
# Fermi-level density of states in states/eV/f.u.: 1.8